# SrTlVO4 (PBE+U, relaxed)
# Energy relative to the lowest polymorph listed for this composition: 0 meV/atom
data_SrTlVO4
_cell_length_a 5.9747
_cell_length_b 7.6650
_cell_length_c 10.1640
_cell_angle_alpha 90.00
_cell_angle_beta 90.00
_cell_angle_gamma 90.00
_space_group_name_H-M_alt 'P 1'
_space_group_IT_number 1
_space_group_name_Hall 'P 1'
loop_
_atom_site_label
_atom_site_fract_x
_atom_site_fract_y
_atom_site_fract_z
_atom_site_occupancy
Sr1 0.0223 0.2497 0.2048 1
Sr2 0.4777 0.7503 0.7048 1
Sr3 0.5223 0.2503 0.7952 1
Sr4 0.9777 0.7497 0.2952 1
Tl1 0.0240 0.4167 0.5779 1
Tl2 0.4760 0.5833 0.0779 1
Tl3 0.5240 0.0833 0.4221 1
Tl4 0.9760 0.9167 0.9221 1
V1 0.0178 0.9695 0.5822 1
V2 0.4822 0.0305 0.0822 1
V3 0.5178 0.5305 0.4178 1
V4 0.9822 0.4695 0.9178 1
O1 0.0007 0.0538 0.4221 1
O2 0.0751 0.7491 0.5629 1
O3 0.2363 0.5060 0.8345 1
O4 0.2474 0.0512 0.6688 1
O5 0.2526 0.9488 0.1688 1
O6 0.2637 0.4940 0.3345 1
O7 0.4249 0.2509 0.0629 1
O8 0.4993 0.9462 0.9221 1
O9 0.5007 0.4462 0.5779 1
O10 0.5751 0.7509 0.4371 1
O11 0.7363 0.9940 0.1655 1
O12 0.7474 0.4488 0.3312 1
O13 0.7526 0.5512 0.8312 1
O14 0.7637 0.0060 0.6655 1
O15 0.9249 0.2491 0.9371 1
O16 0.9993 0.5538 0.0779 1